No. 1
12
Lattice="-2.4039 -1.7213 4.3874 0.5928 -5.2257 0.5760 9.4276 1.8034 5.7543" Properties=species:S:1:pos:R:3 comment="BaZnCd8Au2 | the Alexandria database | PBE | optimized geometry" formation_energy_mev_per_atom=-101.0 dos_at_fermi_per_ev_cell=4.26 dft_energy_ev_per_atom=-1.5237 pbc="T T T"
Cd 5.7557 -1.7020 8.4470
Cd 1.8609 -3.4416 2.2707
Cd 4.3551 -3.4289 6.5769
Cd 7.2600 -3.4612 6.5337
Cd -0.8128 -4.5680 3.5609
Cd 0.3566 -1.6824 4.1840
Cd 3.2615 -1.7147 4.1409
Cd 8.4294 -0.5756 7.1568
Au 1.8718 -4.1083 5.2490
Au 5.7448 -1.0353 5.4687
Zn 0.0000 0.0000 0.0000
Ba 4.7138 0.9017 2.8772

***

No. 2
18
Lattice="10.1627 0.0000 0.0000 0.0000 7.9398 0.0000 -5.0813 -3.9699 5.2940" Properties=species:S:1:pos:R:3 comment="BaZnCdAu6 | the Alexandria database | PBE | optimized geometry" formation_energy_mev_per_atom=-171.2 dos_at_fermi_per_ev_cell=6.61 dft_energy_ev_per_atom=-2.8130 pbc="T T T"
Au 2.6922 3.4716 1.2791
Au -2.3892 3.4716 4.0149
Au 2.6922 0.4983 1.2791
Au 0.0000 1.9850 3.4118
Au 2.3892 0.4983 4.0149
Au -2.3892 0.4983 4.0149
Au 5.0813 5.9548 1.6866
Au 0.0000 -1.9849 3.6074
Au 7.4705 3.4716 1.2791
Au 5.0813 1.9849 1.8822
Au 2.3892 3.4716 4.0149
Au 7.4705 0.4983 1.2791
Cd 2.5407 -1.9849 2.6470
Cd -2.5407 -1.9849 2.6470
Ba 5.0813 -1.9849 5.1983
Ba 0.0000 5.9548 0.0957
Zn 5.0813 0.0000 0.0000
Zn 5.0813 3.9699 0.0000